No. 1
Density functional theory data (GGA-PBE) for a relaxed structure of DyPaSe2.

Geometry as extended XYZ:
```
4
Lattice="1.957 1.130 9.065 -1.957 1.130 9.065 0.000 -2.259 9.065" Properties=species:S:1:pos:R:3 pbc="T T T"
Dy 0.000 0.000 0.000
Pa 0.000 0.000 13.597
Se 0.000 0.000 10.764
Se 0.000 0.000 16.430
```

space group: R-3m
polymorph energy (0 for the lowest one): 541 meV/atom
E_form (uncorrected): -0.935 eV/atom

No. 2
Density functional theory data (GGA-PBE) for a relaxed structure of DyPaSe3.

Geometry as extended XYZ:
```
20
Lattice="7.718 0.000 0.000 0.000 4.044 0.000 0.000 0.000 15.680" Properties=species:S:1:pos:R:3 pbc="T T T"
Dy 1.831 1.011 0.689
Dy 2.028 3.033 8.529
Dy 5.690 1.011 7.151
Dy 5.886 3.033 14.991
Pa 0.942 3.033 4.580
Pa 2.917 1.011 12.420
Pa 4.800 3.033 3.261
Pa 6.776 1.011 11.101
Se 0.031 3.033 1.692
Se 0.934 1.011 6.764
Se 1.196 3.033 11.329
Se 2.663 1.011 3.489
Se 2.925 3.033 14.605
Se 3.828 1.011 9.532
Se 3.890 3.033 6.148
Se 4.792 1.011 1.076
Se 5.054 3.033 12.191
Se 6.522 1.011 4.351
Se 6.784 3.033 8.916
Se 7.687 1.011 13.989
```

space group: Pnma
polymorph energy (0 for the lowest one): 0 meV/atom
E_form (uncorrected): -1.589 eV/atom

No. 3
Density functional theory data (GGA-PBE) for a relaxed structure of DyPa6Se12.

Geometry as extended XYZ:
```
19
Lattice="6.366 3.676 3.842 -6.366 3.676 3.842 0.000 -7.351 3.842" Properties=species:S:1:pos:R:3 pbc="T T T"
Dy 0.000 0.000 0.000
Pa -1.114 -3.009 4.134
Pa -2.049 2.469 4.134
Pa -3.163 -0.540 7.392
Pa 3.163 0.540 4.134
Pa 2.049 -2.469 7.392
Pa 1.114 3.009 7.392
Se -5.676 -1.353 6.323
Se -1.666 -5.592 5.203
Se -2.473 -0.375 4.473
Se -4.010 4.239 5.203
Se 1.561 -1.954 4.473
Se -0.912 -2.329 7.053
Se 0.912 2.329 4.473
Se -1.562 1.954 7.053
Se 4.010 -4.239 6.323
Se 2.473 0.375 7.053
Se 1.666 5.592 6.323
Se 5.676 1.353 5.203
```

space group: R-3
E_form (uncorrected): -1.324 eV/atom

No. 4
Density functional theory data (GGA-PBE) for a relaxed structure of DyPa5Se6.

Geometry as extended XYZ:
```
12
Lattice="3.569 -6.098 0.000 3.569 6.098 0.000 -2.312 0.000 6.567" Properties=species:S:1:pos:R:3 pbc="T T T"
Dy 0.000 0.000 0.000
Pa 2.413 4.051 3.283
Pa 3.569 2.025 0.000
Pa 2.413 0.000 3.283
Pa 3.569 -2.025 0.000
Pa 2.413 -4.051 3.283
Se 1.192 2.014 1.621
Se 0.024 0.000 4.927
Se 1.192 -2.014 1.621
Se 3.633 2.014 4.945
Se 4.802 0.000 1.639
Se 3.633 -2.014 4.945
```

space group: C2/m
E_form (uncorrected): -1.285 eV/atom

No. 5
Density functional theory data (GGA-PBE) for a relaxed structure of DyPa3Se4.

Geometry as extended XYZ:
```
16
Lattice="7.296 0.000 0.000 0.000 8.075 0.000 -2.228 0.000 6.450" Properties=species:S:1:pos:R:3 pbc="T T T"
Dy -0.557 1.008 1.612
Dy -1.671 7.067 4.837
Pa -1.671 3.059 4.837
Pa -0.557 5.017 1.612
Pa 1.977 1.010 4.837
Pa 3.091 3.050 1.612
Pa 1.977 5.026 4.837
Pa 3.091 7.065 1.612
Se -0.436 1.005 6.443
Se 0.678 7.071 3.218
Se 0.694 2.997 3.213
Se -0.420 5.078 6.438
Se 5.489 2.997 0.012
Se 4.375 5.078 3.237
Se 4.391 1.005 3.232
Se 5.505 7.071 0.007
```

space group: P2/c
E_form (uncorrected): -1.331 eV/atom

No. 6
Density functional theory data (GGA-PBE) for a relaxed structure of Sm2DyPaSe4.

Geometry as extended XYZ:
```
8
Lattice="7.140 0.000 0.000 0.000 4.086 0.000 -2.335 0.000 6.783" Properties=species:S:1:pos:R:3 pbc="T T T"
Sm 0.000 0.000 0.000
Sm -1.168 2.043 3.391
Dy 2.402 0.000 3.391
Pa 3.570 2.043 0.000
Se 0.075 0.000 5.087
Se 1.248 2.043 1.723
Se 3.556 2.043 5.060
Se 4.729 0.000 1.696
```

space group: P2/m
E_form (uncorrected): -1.630 eV/atom

No. 7
Density functional theory data (GGA-PBE) for a relaxed structure of Sr2DyPaSe6.

Geometry as extended XYZ:
```
20
Lattice="7.229 0.000 0.000 0.000 7.816 0.000 -7.139 0.000 10.603" Properties=species:S:1:pos:R:3 pbc="T T T"
Sr -0.210 0.695 2.627
Sr -3.780 3.212 7.929
Sr 3.870 4.603 2.674
Sr 0.300 7.120 7.976
Dy -3.570 0.000 5.302
Dy 0.000 3.908 0.000
Pa 3.615 0.000 0.000
Pa 0.045 3.908 5.302
Se -5.776 1.477 9.962
Se -2.206 2.431 4.661
Se -4.837 5.443 9.930
Se -1.267 6.280 4.628
Se -2.678 0.275 7.983
Se 0.892 3.633 2.681
Se -0.802 4.183 7.922
Se 2.768 7.541 2.621
Se 1.357 1.535 5.975
Se 4.927 2.373 0.674
Se 2.296 5.385 5.943
Se 5.866 6.339 0.641
```

space group: P2_1/c
E_form (uncorrected): -1.774 eV/atom

No. 8
Density functional theory data (GGA-PBE) for a relaxed structure of DyPaTe2Se.

Geometry as extended XYZ:
```
10
Lattice="4.362 0.000 0.000 0.000 4.362 0.000 0.000 0.000 14.827" Properties=species:S:1:pos:R:3 pbc="T T T"
Dy 1.091 1.091 1.261
Dy 3.272 3.272 13.566
Pa 1.091 1.091 9.340
Pa 3.272 3.272 5.487
Te 1.091 1.091 4.378
Te 1.091 1.091 12.985
Te 3.272 3.272 1.842
Te 3.272 3.272 10.449
Se 1.091 3.272 7.413
Se 3.272 1.091 7.413
```

space group: P4/nmm
E_form (uncorrected): -1.141 eV/atom